<P>
# Tb2ThSc2

A relaxed Tb2ThSc2 crystal (PBE, Alexandria).

As for the crystal system: orthorhombic.

Geometry as CIF:
```
data_Tb2ThSc2
_symmetry_space_group_name_H-M 'C m c 21'
_symmetry_Int_Tables_number 36
_cell_length_a 5.273
_cell_length_b 16.251
_cell_length_c 6.760
_cell_angle_alpha 90.00
_cell_angle_beta 90.00
_cell_angle_gamma 90.00
loop_
_symmetry_equiv_pos_as_xyz
'x,y,z'
'-x,-y,z+1/2'
'-x,y,z'
'x,-y,z+1/2'
'x+1/2,y+1/2,z'
'-x+1/2,-y+1/2,z+1/2'
'-x+1/2,y+1/2,z'
'x+1/2,-y+1/2,z+1/2'
loop_
_atom_site_label
_atom_site_fract_x
_atom_site_fract_y
_atom_site_fract_z
Tb1 0.000 0.002 0.000
Tb2 0.000 0.202 0.485
Th1 0.000 0.393 0.242
Sc1 0.000 0.199 0.988
Sc2 0.000 0.386 0.739
```


<Q>
# Tb2ThSc2

A relaxed Tb2ThSc2 crystal (PBE, Alexandria).

As for the crystal system: tetragonal.

Geometry as CIF:
```
data_Tb2ThSc2
_symmetry_space_group_name_H-M 'I 4/m m m'
_symmetry_Int_Tables_number 139
_symmetry_space_group_name_Hall '-I 4 2'
_cell_length_a 3.479
_cell_length_b 3.479
_cell_length_c 23.956
_cell_angle_alpha 90.00
_cell_angle_beta 90.00
_cell_angle_gamma 90.00
loop_
_atom_site_label
_atom_site_fract_x
_atom_site_fract_y
_atom_site_fract_z
Tb1 0.000 0.000 0.197
Th1 0.000 0.000 0.000
Sc1 0.000 0.000 0.404
```


Relative energies with respect to the most stable structure, expressed in eV/atom: <P> 0.029; <Q> 0.000.


<P>
# Tb3Th2Sc3

A relaxed Tb3Th2Sc3 crystal (PBE, Alexandria).

As for the crystal system: orthorhombic.

Geometry as CIF:
```
data_Tb3Th2Sc3
_symmetry_space_group_name_H-M 'I m m m'
_symmetry_Int_Tables_number 71
_symmetry_space_group_name_Hall '-I 2 2'
_cell_length_a 4.855
_cell_length_b 4.915
_cell_length_c 19.659
_cell_angle_alpha 90.00
_cell_angle_beta 90.00
_cell_angle_gamma 90.00
loop_
_atom_site_label
_atom_site_fract_x
_atom_site_fract_y
_atom_site_fract_z
Tb1 0.000 0.000 0.000
Tb2 0.000 0.500 0.124
Th1 0.000 0.000 0.249
Sc1 0.000 0.000 0.500
Sc2 0.000 0.500 0.375
```


<Q>
# Tb3Th2Sc3

A relaxed Tb3Th2Sc3 crystal (PBE, Alexandria).

As for the crystal system: trigonal.

Geometry as CIF:
```
data_Tb3Th2Sc3
_symmetry_space_group_name_H-M 'R 3 2'
_symmetry_Int_Tables_number 155
_symmetry_space_group_name_Hall 'R 3 2"'
_cell_length_a 9.2626
_cell_length_b 9.2626
_cell_length_c 9.5153
_cell_angle_alpha 90.00
_cell_angle_beta 90.00
_cell_angle_gamma 120.00
loop_
_atom_site_label
_atom_site_fract_x
_atom_site_fract_y
_atom_site_fract_z
Tb1 0.0000 0.2812 0.0000
Th1 0.0000 0.0000 0.2670
Sc1 0.0000 0.7071 0.5000
```


Relative energies with respect to the most stable structure, expressed in eV/atom: <P> 0.000; <Q> 0.111.


<P>
# Tb6ThSc4

A relaxed Tb6ThSc4 crystal (PBE, Alexandria).

As for the crystal system: triclinic.

Geometry as CIF:
```
data_Tb6ThSc4
_symmetry_space_group_name_H-M 'P -1'
_symmetry_Int_Tables_number 2
_cell_length_a 5.468
_cell_length_b 5.470
_cell_length_c 24.907
_cell_angle_alpha 90.14
_cell_angle_beta 90.14
_cell_angle_gamma 119.34
loop_
_symmetry_equiv_pos_as_xyz
'x,y,z'
'-x,-y,-z'
loop_
_atom_site_label
_atom_site_fract_x
_atom_site_fract_y
_atom_site_fract_z
Tb1 0.000 0.000 0.000
Tb2 0.000 0.000 0.500
Tb3 0.014 0.985 0.250
Tb4 0.320 0.675 0.596
Tb5 0.326 0.681 0.904
Tb6 0.345 0.650 0.179
Tb7 0.349 0.654 0.321
Th1 0.320 0.681 0.750
Sc1 0.010 0.982 0.124
Sc2 0.017 0.989 0.376
Sc3 0.337 0.661 0.043
Sc4 0.339 0.663 0.457
```


<Q>
# Tb6ThSc4

A relaxed Tb6ThSc4 crystal (PBE, Alexandria).

As for the crystal system: tetragonal.

Geometry as CIF:
```
data_Tb6ThSc4
_symmetry_space_group_name_H-M 'I -4 2 m'
_symmetry_Int_Tables_number 121
_symmetry_space_group_name_Hall 'I -4 2'
_cell_length_a 6.840
_cell_length_b 6.840
_cell_length_c 14.254
_cell_angle_alpha 90.00
_cell_angle_beta 90.00
_cell_angle_gamma 90.00
loop_
_atom_site_label
_atom_site_fract_x
_atom_site_fract_y
_atom_site_fract_z
Tb1 0.000 0.500 0.000
Tb2 0.209 0.209 0.187
Th1 0.000 0.000 0.000
Sc1 0.155 0.155 0.409
```


Relative energies with respect to the most stable structure, expressed in eV/atom: <P> 0.000; <Q> 0.223.


<P>
# Tb3ThSc2

A relaxed Tb3ThSc2 crystal (PBE, Alexandria).

As for the crystal system: orthorhombic.

Geometry as CIF:
```
data_Tb3ThSc2
_symmetry_space_group_name_H-M 'C m c 21'
_symmetry_Int_Tables_number 36
_cell_length_a 9.130
_cell_length_b 12.617
_cell_length_c 6.331
_cell_angle_alpha 90.00
_cell_angle_beta 90.00
_cell_angle_gamma 90.00
loop_
_symmetry_equiv_pos_as_xyz
'x,y,z'
'-x,-y,z+1/2'
'-x,y,z'
'x,-y,z+1/2'
'x+1/2,y+1/2,z'
'-x+1/2,-y+1/2,z+1/2'
'-x+1/2,y+1/2,z'
'x+1/2,-y+1/2,z+1/2'
loop_
_atom_site_label
_atom_site_fract_x
_atom_site_fract_y
_atom_site_fract_z
Tb1 0.000 0.097 0.000
Tb2 0.181 0.430 0.252
Th1 0.000 0.174 0.480
Sc1 0.178 0.312 0.783
```


<Q>
# Tb3ThSc2

A relaxed Tb3ThSc2 crystal (PBE, Alexandria).

As for the crystal system: monoclinic.

Geometry as CIF:
```
data_Tb3ThSc2
_symmetry_space_group_name_H-M 'C 1 2/m 1'
_symmetry_Int_Tables_number 12
_cell_length_a 14.712
_cell_length_b 4.900
_cell_length_c 10.931
_cell_angle_alpha 90.00
_cell_angle_beta 116.09
_cell_angle_gamma 90.00
loop_
_symmetry_equiv_pos_as_xyz
'x,y,z'
'-x,-y,-z'
'-x,y,-z'
'x,-y,z'
'x+1/2,y+1/2,z'
'-x+1/2,-y+1/2,-z'
'-x+1/2,y+1/2,-z'
'x+1/2,-y+1/2,z'
loop_
_atom_site_label
_atom_site_fract_x
_atom_site_fract_y
_atom_site_fract_z
Tb1 0.041 0.000 0.375
Tb2 0.207 0.500 0.372
Tb3 0.209 0.000 0.873
Th1 0.039 0.500 0.876
Sc1 0.121 0.000 0.121
Sc2 0.125 0.500 0.626
```


Relative energies with respect to the most stable structure, expressed in eV/atom: <P> 0.186; <Q> 0.000.


<P>
# Tb2ThSc

A relaxed Tb2ThSc crystal (PBE, Alexandria).

As for the crystal system: trigonal.

Geometry as CIF:
```
data_Tb2ThSc
_symmetry_space_group_name_H-M 'R 3 m'
_symmetry_Int_Tables_number 160
_symmetry_space_group_name_Hall 'R 3 -2"'
_cell_length_a 3.5310
_cell_length_b 3.5310
_cell_length_c 33.5656
_cell_angle_alpha 90.00
_cell_angle_beta 90.00
_cell_angle_gamma 120.00
loop_
_atom_site_label
_atom_site_fract_x
_atom_site_fract_y
_atom_site_fract_z
Tb1 0.0000 0.0000 0.0000
Tb2 0.0000 0.0000 0.1626
Th1 0.0000 0.0000 0.5810
Sc1 0.0000 0.0000 0.4152
```


<Q>
# Tb2ThSc

A relaxed Tb2ThSc crystal (PBE, Alexandria).

As for the crystal system: cubic.

Geometry as CIF:
```
data_Tb2ThSc
_symmetry_space_group_name_H-M 'F m -3 m'
_symmetry_Int_Tables_number 225
_symmetry_space_group_name_Hall '-F 4 2 3'
_cell_length_a 7.872
_cell_length_b 7.872
_cell_length_c 7.872
_cell_angle_alpha 90.00
_cell_angle_beta 90.00
_cell_angle_gamma 90.00
loop_
_atom_site_label
_atom_site_fract_x
_atom_site_fract_y
_atom_site_fract_z
Tb1 0.250 0.250 0.250
Th1 0.000 0.000 0.000
Sc1 0.000 0.000 0.500
```


Relative energies with respect to the most stable structure, expressed in eV/atom: <P> 0.000; <Q> 0.171.


<P>
# Tb2ThSc

A relaxed Tb2ThSc crystal (PBE, Alexandria).

As for the crystal system: orthorhombic.

Geometry as CIF:
```
data_Tb2ThSc
_symmetry_space_group_name_H-M 'P m m m'
_symmetry_Int_Tables_number 47
_cell_length_a 3.280
_cell_length_b 5.728
_cell_length_c 6.411
_cell_angle_alpha 90.00
_cell_angle_beta 90.00
_cell_angle_gamma 90.00
loop_
_symmetry_equiv_pos_as_xyz
'x,y,z'
'-x,-y,-z'
'-x,-y,z'
'x,y,-z'
'x,-y,-z'
'-x,y,z'
'-x,y,-z'
'x,-y,z'
loop_
_atom_site_label
_atom_site_fract_x
_atom_site_fract_y
_atom_site_fract_z
Tb1 0.000 0.000 0.238
Th1 0.000 0.500 0.500
Sc1 0.500 0.500 0.000
```


<Q>
# Tb2ThSc

A relaxed Tb2ThSc crystal (PBE, Alexandria).

As for the crystal system: tetragonal.

Geometry as CIF:
```
data_Tb2ThSc
_symmetry_space_group_name_H-M 'P 4/m m m'
_symmetry_Int_Tables_number 123
_symmetry_space_group_name_Hall '-P 4 2'
_cell_length_a 4.893
_cell_length_b 4.893
_cell_length_c 5.009
_cell_angle_alpha 90.00
_cell_angle_beta 90.00
_cell_angle_gamma 90.00
loop_
_atom_site_label
_atom_site_fract_x
_atom_site_fract_y
_atom_site_fract_z
Tb1 0.000 0.500 0.000
Th1 0.000 0.000 0.500
Sc1 0.500 0.500 0.500
```


Relative energies with respect to the most stable structure, expressed in eV/atom: <P> 0.193; <Q> 0.000.


<P>
# Tb6ThSc2

A relaxed Tb6ThSc2 crystal (PBE, Alexandria).

As for the crystal system: trigonal.

Geometry as CIF:
```
data_Tb6ThSc2
_symmetry_space_group_name_H-M 'R 3'
_symmetry_Int_Tables_number 146
_symmetry_space_group_name_Hall 'R 3'
_cell_length_a 8.3628
_cell_length_b 8.3628
_cell_length_c 14.4126
_cell_angle_alpha 90.00
_cell_angle_beta 90.00
_cell_angle_gamma 120.00
loop_
_atom_site_label
_atom_site_fract_x
_atom_site_fract_y
_atom_site_fract_z
Tb1 0.0289 0.2590 0.0000
Tb2 0.1102 0.7059 0.4670
Th1 0.0000 0.0000 0.1954
Sc1 0.0000 0.0000 0.4054
Sc2 0.0000 0.0000 0.6145
```


<Q>
# Tb6ThSc2

A relaxed Tb6ThSc2 crystal (PBE, Alexandria).

As for the crystal system: monoclinic.

Geometry as CIF:
```
data_Tb6ThSc2
_symmetry_space_group_name_H-M 'P 1 21/c 1'
_symmetry_Int_Tables_number 14
_cell_length_a 6.161
_cell_length_b 9.363
_cell_length_c 11.114
_cell_angle_alpha 90.00
_cell_angle_beta 120.91
_cell_angle_gamma 90.00
loop_
_symmetry_equiv_pos_as_xyz
'x,y,z'
'-x,-y,-z'
'-x,y+1/2,-z+1/2'
'x,-y+1/2,z+1/2'
loop_
_atom_site_label
_atom_site_fract_x
_atom_site_fract_y
_atom_site_fract_z
Tb1 0.044 0.132 0.193
Tb2 0.295 0.711 0.660
Tb3 0.349 0.143 0.009
Th1 0.500 0.000 0.500
Sc1 0.153 0.062 0.648
```


Relative energies with respect to the most stable structure, expressed in eV/atom: <P> 0.176; <Q> 0.000.


<P>
# TbTh2Sc2

A relaxed TbTh2Sc2 crystal (PBE, Alexandria).

As for the crystal system: orthorhombic.

Geometry as CIF:
```
data_TbTh2Sc2
_symmetry_space_group_name_H-M 'C m c e'
_symmetry_Int_Tables_number 64
_symmetry_space_group_name_Hall '-C 2ac 2'
_cell_length_a 4.891
_cell_length_b 24.337
_cell_length_c 9.792
_cell_angle_alpha 90.00
_cell_angle_beta 90.00
_cell_angle_gamma 90.00
loop_
_atom_site_label
_atom_site_fract_x
_atom_site_fract_y
_atom_site_fract_z
Tb1 0.000 0.149 0.117
Th1 0.000 0.049 0.378
Th2 0.000 0.249 0.875
Sc1 0.000 0.047 0.871
Sc2 0.000 0.149 0.634
```


<Q>
# TbTh2Sc2

A relaxed TbTh2Sc2 crystal (PBE, Alexandria).

As for the crystal system: orthorhombic.

Geometry as CIF:
```
data_TbTh2Sc2
_symmetry_space_group_name_H-M 'F d d d'
_symmetry_Int_Tables_number 70
_cell_length_a 5.771
_cell_length_b 10.803
_cell_length_c 21.050
_cell_angle_alpha 90.00
_cell_angle_beta 90.00
_cell_angle_gamma 90.00
loop_
_symmetry_equiv_pos_as_xyz
'x,y,z'
'-x,-y,-z'
'-x+1/4,-y+1/4,z'
'x+1/4,y+1/4,-z'
'x,-y+1/4,-z+1/4'
'-x,y+1/4,z+1/4'
'-x+1/4,y,-z+1/4'
'x+1/4,-y,z+1/4'
'x,y+1/2,z+1/2'
'-x,-y+1/2,-z+1/2'
'-x+1/4,-y+3/4,z+1/2'
'x+1/4,y+3/4,-z+1/2'
'x,-y+3/4,-z+3/4'
'-x,y+3/4,z+3/4'
'-x+1/4,y+1/2,-z+3/4'
'x+1/4,-y+1/2,z+3/4'
'x+1/2,y,z+1/2'
'-x+1/2,-y,-z+1/2'
'-x+3/4,-y+1/4,z+1/2'
'x+3/4,y+1/4,-z+1/2'
'x+1/2,-y+1/4,-z+3/4'
'-x+1/2,y+1/4,z+3/4'
'-x+3/4,y,-z+3/4'
'x+3/4,-y,z+3/4'
'x+1/2,y+1/2,z'
'-x+1/2,-y+1/2,-z'
'-x+3/4,-y+3/4,z'
'x+3/4,y+3/4,-z'
'x+1/2,-y+3/4,-z+1/4'
'-x+1/2,y+3/4,z+1/4'
'-x+3/4,y+1/2,-z+1/4'
'x+3/4,-y+1/2,z+1/4'
loop_
_atom_site_label
_atom_site_fract_x
_atom_site_fract_y
_atom_site_fract_z
Tb1 0.125 0.125 0.125
Th1 0.125 0.285 0.625
Sc1 0.000 0.000 0.000
```


Relative energies with respect to the most stable structure, expressed in eV/atom: <P> 0.000; <Q> 0.507.


<P>
# Tb4ThSc2

A relaxed Tb4ThSc2 crystal (PBE, Alexandria).

As for the crystal system: monoclinic.

Geometry as CIF:
```
data_Tb4ThSc2
_symmetry_space_group_name_H-M 'P 1 21/m 1'
_symmetry_Int_Tables_number 11
_cell_length_a 5.765
_cell_length_b 6.542
_cell_length_c 11.514
_cell_angle_alpha 90.00
_cell_angle_beta 104.46
_cell_angle_gamma 90.00
loop_
_symmetry_equiv_pos_as_xyz
'x,y,z'
'-x,-y,-z'
'-x,y+1/2,-z'
'x,-y+1/2,z'
loop_
_atom_site_label
_atom_site_fract_x
_atom_site_fract_y
_atom_site_fract_z
Tb1 0.029 0.250 0.167
Tb2 0.180 0.750 0.424
Tb3 0.363 0.501 0.710
Th1 0.158 0.750 0.125
Sc1 0.257 0.250 0.443
Sc2 0.408 0.250 0.000
```


<Q>
# Tb4ThSc2

A relaxed Tb4ThSc2 crystal (PBE, Alexandria).

As for the crystal system: orthorhombic.

Geometry as CIF:
```
data_Tb4ThSc2
_symmetry_space_group_name_H-M 'C m m e'
_symmetry_Int_Tables_number 67
_symmetry_space_group_name_Hall '-C 2a 2'
_cell_length_a 15.696
_cell_length_b 15.707
_cell_length_c 3.492
_cell_angle_alpha 90.00
_cell_angle_beta 90.00
_cell_angle_gamma 90.00
loop_
_atom_site_label
_atom_site_fract_x
_atom_site_fract_y
_atom_site_fract_z
Tb1 0.140 0.110 0.001
Th1 0.000 0.250 0.504
Sc1 0.000 0.000 0.500
Sc2 0.250 0.250 0.500
```


Relative energies with respect to the most stable structure, expressed in eV/atom: <P> 0.000; <Q> 0.014.


<P>
# TbTh2Sc3

A relaxed TbTh2Sc3 crystal (PBE, Alexandria).

As for the crystal system: orthorhombic.

Geometry as CIF:
```
data_TbTh2Sc3
_symmetry_space_group_name_H-M 'C m c m'
_symmetry_Int_Tables_number 63
_symmetry_space_group_name_Hall '-C 2c 2'
_cell_length_a 3.477
_cell_length_b 17.524
_cell_length_c 11.164
_cell_angle_alpha 90.00
_cell_angle_beta 90.00
_cell_angle_gamma 90.00
loop_
_atom_site_label
_atom_site_fract_x
_atom_site_fract_y
_atom_site_fract_z
Tb1 0.000 0.222 0.250
Th1 0.000 0.000 0.000
Th2 0.000 0.445 0.750
Sc1 0.000 0.110 0.750
Sc2 0.000 0.333 0.008
```


<Q>
# TbTh2Sc3

A relaxed TbTh2Sc3 crystal (PBE, Alexandria).

As for the crystal system: tetragonal.

Geometry as CIF:
```
data_TbTh2Sc3
_symmetry_space_group_name_H-M 'P 4/m m m'
_symmetry_Int_Tables_number 123
_symmetry_space_group_name_Hall '-P 4 2'
_cell_length_a 3.486
_cell_length_b 3.486
_cell_length_c 13.978
_cell_angle_alpha 90.00
_cell_angle_beta 90.00
_cell_angle_gamma 90.00
loop_
_atom_site_label
_atom_site_fract_x
_atom_site_fract_y
_atom_site_fract_z
Tb1 0.000 0.000 0.000
Th1 0.000 0.000 0.333
Sc1 0.500 0.500 0.170
Sc2 0.500 0.500 0.500
```


Relative energies with respect to the most stable structure, expressed in eV/atom: <P> 0.023; <Q> 0.000.